No. 1
VASP calculation (PBE) on RbCu2TeS after structural relaxation.

Cell: 8.014 8.014 8.014 Å, 151.57 151.57 40.65°
Atoms (fractional coordinates):
Rb1 0.000 0.000 0.000
Cu1 0.210 0.710 0.500
Cu2 0.710 0.210 0.500
Te1 0.328 0.328 0.000
S1 0.624 0.624 0.000

Results
symmetry	I4mm, No. 107

---

No. 2
VASP calculation (PBE) on RbTm2Cu3TeS4 after structural relaxation.

Cell: 7.274 7.274 17.000 Å, 90.00 90.00 147.99°
Atoms (fractional coordinates):
Rb1 0.047 0.953 0.750
Rb2 0.953 0.047 0.250
Tm1 0.188 0.812 0.085
Tm2 0.188 0.812 0.415
Tm3 0.812 0.188 0.585
Tm4 0.812 0.188 0.915
Cu1 0.355 0.645 0.750
Cu2 0.416 0.584 0.039
Cu3 0.416 0.584 0.461
Cu4 0.584 0.416 0.539
Cu5 0.584 0.416 0.961
Cu6 0.645 0.355 0.250
Te1 0.253 0.747 0.250
Te2 0.747 0.253 0.750
S1 0.170 0.830 0.569
S2 0.170 0.830 0.931
S3 0.438 0.562 0.609
S4 0.438 0.562 0.891
S5 0.562 0.438 0.109
S6 0.562 0.438 0.391
S7 0.830 0.170 0.069
S8 0.830 0.170 0.431

Results
symmetry	Cmcm, No. 63

---

No. 3
VASP calculation (PBE) on RbTm2CuTeS3 after structural relaxation.

Cell: 7.283 7.283 14.139 Å, 90.00 90.00 147.70°
Atoms (fractional coordinates):
Rb1 0.134 0.866 0.750
Rb2 0.866 0.134 0.250
Tm1 0.367 0.633 0.552
Tm2 0.367 0.633 0.948
Tm3 0.633 0.367 0.052
Tm4 0.633 0.367 0.448
Cu1 0.169 0.831 0.250
Cu2 0.831 0.169 0.750
Te1 0.443 0.557 0.750
Te2 0.557 0.443 0.250
S1 0.000 0.000 0.000
S2 0.000 0.000 0.500
S3 0.251 0.749 0.103
S4 0.251 0.749 0.397
S5 0.749 0.251 0.603
S6 0.749 0.251 0.897

Results
symmetry	Cmcm, No. 63

---

No. 4
VASP calculation (PBE) on RbCuTeWS2 after structural relaxation.

Cell: 8.483 8.483 9.928 Å, 90.00 90.00 156.11°
Atoms (fractional coordinates):
Rb1 0.221 0.779 0.750
Rb2 0.779 0.221 0.250
Cu1 0.468 0.532 0.250
Cu2 0.532 0.468 0.750
Te1 0.085 0.915 0.250
Te2 0.915 0.085 0.750
W1 0.000 0.000 0.000
W2 0.000 0.000 0.500
S1 0.401 0.599 0.055
S2 0.401 0.599 0.445
S3 0.599 0.401 0.555
S4 0.599 0.401 0.945

Results
symmetry	Cmcm, No. 63

---

No. 5
VASP calculation (PBE) on Rb2Tm4Cu4S9 after structural relaxation.

Cell: 7.168 7.168 15.792 Å, 108.55 108.55 31.71°
Atoms (fractional coordinates):
Rb1 0.029 0.029 0.271
Rb2 0.971 0.971 0.729
Tm1 0.232 0.232 0.104
Tm2 0.346 0.346 0.445
Tm3 0.654 0.654 0.555
Tm4 0.768 0.768 0.896
Cu1 0.249 0.249 0.730
Cu2 0.430 0.430 0.039
Cu3 0.570 0.570 0.961
Cu4 0.751 0.751 0.270
S1 0.000 0.000 0.500
S2 0.142 0.142 0.925
S3 0.295 0.295 0.599
S4 0.344 0.344 0.277
S5 0.391 0.391 0.875
S6 0.609 0.609 0.125
S7 0.656 0.656 0.723
S8 0.705 0.705 0.401
S9 0.858 0.858 0.075

Results
symmetry	C2/m, No. 12

---

No. 6
VASP calculation (PBE) on RbTm2Cu3S5 after structural relaxation.

Cell: 7.196 7.196 16.317 Å, 90.00 90.00 148.45°
Atoms (fractional coordinates):
Rb1 0.066 0.934 0.750
Rb2 0.934 0.066 0.250
Tm1 0.192 0.808 0.093
Tm2 0.192 0.808 0.407
Tm3 0.808 0.192 0.593
Tm4 0.808 0.192 0.907
Cu1 0.347 0.653 0.750
Cu2 0.417 0.583 0.039
Cu3 0.417 0.583 0.461
Cu4 0.583 0.417 0.539
Cu5 0.583 0.417 0.961
Cu6 0.653 0.347 0.250
S1 0.169 0.831 0.569
S2 0.169 0.831 0.931
S3 0.240 0.760 0.250
S4 0.438 0.562 0.614
S5 0.438 0.562 0.886
S6 0.562 0.438 0.114
S7 0.562 0.438 0.386
S8 0.760 0.240 0.750
S9 0.831 0.169 0.069
S10 0.831 0.169 0.431

Results
symmetry	Cmcm, No. 63

---

No. 7
VASP calculation (PBE) on RbTmCuS3 after structural relaxation.

Cell: 8.942 3.921 9.435 Å, 90.00 110.02 90.00°
Atoms (fractional coordinates):
Rb1 0.211 0.250 0.241
Rb2 0.789 0.750 0.759
Tm1 0.329 0.750 0.859
Tm2 0.671 0.250 0.141
Cu1 0.083 0.250 0.606
Cu2 0.917 0.750 0.394
S1 0.122 0.250 0.859
S2 0.183 0.750 0.545
S3 0.470 0.750 0.158
S4 0.530 0.250 0.842
S5 0.817 0.250 0.455
S6 0.878 0.750 0.141

Results
symmetry	P2_1/m, No. 11

---

No. 8
VASP calculation (PBE) on RbCu3WS4 after structural relaxation.

Cell: 5.984 5.984 5.984 Å, 90.00 90.00 90.00°
Atoms (fractional coordinates):
Rb1 0.000 0.000 0.000
Cu1 0.000 0.500 0.500
Cu2 0.500 0.000 0.500
Cu3 0.500 0.500 0.000
W1 0.500 0.500 0.500
S1 0.281 0.281 0.281
S2 0.281 0.719 0.719
S3 0.719 0.281 0.719
S4 0.719 0.719 0.281

Results
symmetry	P-43m, No. 215

---

No. 9
VASP calculation (PBE) on Rb2Cu2WS4 after structural relaxation.

Cell: 5.588 5.588 13.519 Å, 90.00 90.00 90.00°
Atoms (fractional coordinates):
Rb1 0.242 0.242 0.000
Rb2 0.242 0.758 0.500
Rb3 0.758 0.242 0.500
Rb4 0.758 0.758 0.000
Cu1 0.000 0.500 0.250
Cu2 0.000 0.500 0.750
Cu3 0.500 0.000 0.250
Cu4 0.500 0.000 0.750
W1 0.500 0.500 0.250
W2 0.500 0.500 0.750
S1 0.261 0.261 0.350
S2 0.261 0.261 0.650
S3 0.261 0.739 0.150
S4 0.261 0.739 0.850
S5 0.739 0.261 0.150
S6 0.739 0.261 0.850
S7 0.739 0.739 0.350
S8 0.739 0.739 0.650

Results
symmetry	P4_2/mcm, No. 132

---

No. 10
VASP calculation (PBE) on RbYCuS3 after structural relaxation.

Cell: 9.005 3.974 9.508 Å, 90.00 109.12 90.00°
Atoms (fractional coordinates):
Rb1 0.203 0.250 0.236
Rb2 0.797 0.750 0.764
Y1 0.330 0.750 0.857
Y2 0.670 0.250 0.143
Cu1 0.083 0.250 0.607
Cu2 0.917 0.750 0.393
S1 0.121 0.250 0.857
S2 0.178 0.750 0.543
S3 0.466 0.750 0.158
S4 0.534 0.250 0.842
S5 0.822 0.250 0.457
S6 0.879 0.750 0.143

Results
symmetry	P2_1/m, No. 11

---

no.,electronic total energy (eV for the cell shown),calculated volume (Å³/atom)
1,-18.18,23.29
2,-105.88,21.67
3,-81.84,25.04
4,-62.71,24.11
5,-98.74,21.18
6,-110.88,20.10
7,-58.30,25.90
8,-43.78,23.81
9,-88.12,23.46
10,-62.26,26.79